No. 1
A relaxed La2TeO crystal, computed with GGA-PBE.

Crystal system   cubic
Energy relative to the elements, uncorrected   -1.38 eV per atom
Distance to the lowest polymorph of the same formula   0.712 eV per atom

Lattice parameters (Å, degrees): 7.321 7.321 7.321 90.00 90.00 90.00
Space group Fm-3m (No. 225)
Inequivalent atoms, fractional coordinates:
1 La 0.250 0.250 0.250 (multiplicity 8)
2 Te 0.000 0.000 0.000 (multiplicity 4)
3 O 0.000 0.000 0.500 (multiplicity 4)


No. 2
A relaxed La2Te2O crystal, computed with GGA-PBE.

Crystal system   orthorhombic
Energy relative to the elements, uncorrected   -2.23 eV per atom
Distance to the lowest polymorph of the same formula   0.040 eV per atom

Lattice parameters (Å, degrees): 4.281 18.072 8.003 90.00 90.00 90.00
Space group Cmc2_1 (No. 36)
Inequivalent atoms, fractional coordinates:
1 La 0.000 0.079 0.000 (multiplicity 4)
2 La 0.000 0.347 0.136 (multiplicity 4)
3 Te 0.000 0.285 0.519 (multiplicity 4)
4 Te 0.000 0.467 0.816 (multiplicity 4)
5 O 0.000 0.119 0.733 (multiplicity 4)


No. 3
A relaxed La2TeO5 crystal, computed with GGA-PBE.

Crystal system   monoclinic
Energy relative to the elements, uncorrected   -2.57 eV per atom
Distance to the lowest polymorph of the same formula   0.000 eV per atom

Lattice parameters (Å, degrees): 10.283 7.444 6.943 90.00 100.65 90.00
Space group P2_1/c (No. 14)
Inequivalent atoms, fractional coordinates:
1 La 0.035 0.122 0.248 (multiplicity 4)
2 La 0.368 0.130 0.071 (multiplicity 4)
3 Te 0.287 0.603 0.091 (multiplicity 4)
4 O 0.083 0.648 0.939 (multiplicity 4)
5 O 0.131 0.107 0.952 (multiplicity 4)
6 O 0.285 0.076 0.380 (multiplicity 4)
7 O 0.385 0.720 0.482 (multiplicity 4)
8 O 0.421 0.070 0.746 (multiplicity 4)